Below is Zr2PdF after structural relaxation, with properties calculated at the PBE level.

Computed properties:
- SG = Fm-3m (225)
- density of states at the Fermi level (states/eV per atom) = 1.499
- raw total energy (eV/atom) = -6.894
- crystal system = cubic
- ΔE to the lowest computed polymorph (meV/atom) = 0

Cell lengths 4.633, 4.633, 4.633 Å; angles 60.00, 60.00, 60.00 degrees
Element x y z (fractional)
Zr  0.250  0.250  0.250
Zr  0.750  0.750  0.750
Pd  0.000  0.000  0.000
F  0.500  0.500  0.500

***

Below is Zr2Pd2F after structural relaxation, with properties calculated at the PBE level.

Computed properties:
- SG = P4/mbm (127)
- density of states at the Fermi level (states/eV per atom) = 0.754
- raw total energy (eV/atom) = -6.885
- crystal system = tetragonal

Cell lengths 6.358, 6.358, 4.387 Å; angles 90.00, 90.00, 90.00 degrees
Element x y z (fractional)
Zr  0.168  0.332  0.000
Zr  0.332  0.832  0.000
Zr  0.668  0.168  0.000
Zr  0.832  0.668  0.000
Pd  0.147  0.647  0.500
Pd  0.353  0.147  0.500
Pd  0.647  0.853  0.500
Pd  0.853  0.353  0.500
F  0.000  0.000  0.000
F  0.500  0.500  0.000

***

Below is ZrPd3F after structural relaxation, with properties calculated at the PBE level.

Computed properties:
- SG = Pm-3m (221)
- density of states at the Fermi level (states/eV per atom) = 0.680
- raw total energy (eV/atom) = -4.648
- crystal system = cubic
- ΔE to the lowest computed polymorph (meV/atom) = 714

Cell lengths 4.951, 4.951, 4.951 Å; angles 90.00, 90.00, 90.00 degrees
Element x y z (fractional)
Zr  0.000  0.000  0.000
Pd  0.000  0.000  0.500
Pd  0.000  0.500  0.000
Pd  0.500  0.000  0.000
F  0.500  0.500  0.500

***

Below is ZrPdF3 after structural relaxation, with properties calculated at the PBE level.

Computed properties:
- SG = Pm-3m (221)
- density of states at the Fermi level (states/eV per atom) = 0.503
- raw total energy (eV/atom) = -5.938
- crystal system = cubic
- ΔE to the lowest computed polymorph (meV/atom) = 0

Cell lengths 4.260, 4.260, 4.260 Å; angles 90.00, 90.00, 90.00 degrees
Element x y z (fractional)
Zr  0.000  0.000  0.000
Pd  0.500  0.500  0.500
F  0.000  0.000  0.500
F  0.000  0.500  0.000
F  0.500  0.000  0.000

***

Below is ZrPd3F after structural relaxation, with properties calculated at the PBE level.

Computed properties:
- SG = Pm-3m (221)
- density of states at the Fermi level (states/eV per atom) = 0.618
- raw total energy (eV/atom) = -5.362
- crystal system = cubic
- ΔE to the lowest computed polymorph (meV/atom) = 0

Cell lengths 4.377, 4.377, 4.377 Å; angles 90.00, 90.00, 90.00 degrees
Element x y z (fractional)
Zr  0.000  0.000  0.000
Pd  0.000  0.500  0.500
Pd  0.500  0.000  0.500
Pd  0.500  0.500  0.000
F  0.500  0.500  0.500

***

Below is ZrPdF2 after structural relaxation, with properties calculated at the PBE level.

Computed properties:
- SG = R-3m (166)
- density of states at the Fermi level (states/eV per atom) = 0.747
- raw total energy (eV/atom) = -5.989
- crystal system = trigonal
- ΔE to the lowest computed polymorph (meV/atom) = 56

Cell lengths 8.332, 8.332, 8.332 Å; angles 19.78, 19.78, 19.78 degrees
Element x y z (fractional)
Zr  0.000  0.000  0.000
Pd  0.500  0.500  0.500
F  0.396  0.396  0.396
F  0.604  0.604  0.604

***

Below is Zr2PdF after structural relaxation, with properties calculated at the PBE level.

Computed properties:
- SG = I-42d (122)
- density of states at the Fermi level (states/eV per atom) = 0.832
- raw total energy (eV/atom) = -6.807
- crystal system = tetragonal
- ΔE to the lowest computed polymorph (meV/atom) = 87

Cell lengths 7.345, 7.345, 7.345 Å; angles 139.42, 139.42, 58.73 degrees
Element x y z (fractional)
Zr  0.063  0.625  0.938
Zr  0.375  0.313  0.438
Zr  0.687  0.125  0.062
Zr  0.875  0.937  0.562
Pd  0.250  0.750  0.500
Pd  0.500  0.500  0.000
F  0.000  0.000  0.000
F  0.750  0.250  0.500

***

Below is ZrPdF6 after structural relaxation, with properties calculated at the PBE level.

Computed properties:
- SG = P-31c (163)
- raw total energy (eV/atom) = -5.801
- crystal system = trigonal

Cell lengths 5.318, 5.318, 10.137 Å; angles 90.00, 90.00, 120.00 degrees
Element x y z (fractional)
Zr  0.000  0.000  0.000
Zr  0.000  0.000  0.500
Pd  0.333  0.667  0.250
Pd  0.667  0.333  0.750
F  0.023  0.323  0.118
F  0.023  0.700  0.382
F  0.300  0.323  0.382
F  0.300  0.977  0.118
F  0.323  0.023  0.618
F  0.323  0.300  0.882
F  0.677  0.700  0.118
F  0.677  0.977  0.382
F  0.700  0.023  0.882
F  0.700  0.677  0.618
F  0.977  0.300  0.618
F  0.977  0.677  0.882

***

Below is Pm4F after structural relaxation, with properties calculated at the PBE level.

Computed properties:
- SG = Pm-3m (221)
- density of states at the Fermi level (states/eV per atom) = 0.970
- raw total energy (eV/atom) = -5.148
- crystal system = cubic

Cell lengths 5.176, 5.176, 5.176 Å; angles 90.00, 90.00, 90.00 degrees
Element x y z (fractional)
Pm  0.000  0.000  0.000
Pm  0.000  0.500  0.500
Pm  0.500  0.000  0.500
Pm  0.500  0.500  0.000
F  0.500  0.500  0.500

***

Below is PmF4 after structural relaxation, with properties calculated at the PBE level.

Computed properties:
- SG = R-3m (166)
- density of states at the Fermi level (states/eV per atom) = 0.318
- raw total energy (eV/atom) = -5.574
- crystal system = trigonal
- ΔE to the lowest computed polymorph (meV/atom) = 0

Cell lengths 5.217, 5.217, 5.217 Å; angles 45.63, 45.63, 45.63 degrees
Element x y z (fractional)
Pm  0.000  0.000  0.000
F  0.170  0.170  0.170
F  0.372  0.372  0.372
F  0.628  0.628  0.628
F  0.830  0.830  0.830

***

Below is PmF8 after structural relaxation, with properties calculated at the PBE level.

Computed properties:
- SG = I4/mmm (139)
- density of states at the Fermi level (states/eV per atom) = 0.390
- raw total energy (eV/atom) = -3.523
- crystal system = tetragonal

Cell lengths 6.305, 6.305, 6.305 Å; angles 94.42, 94.42, 147.76 degrees
Element x y z (fractional)
Pm  0.000  0.000  0.000
F  0.000  0.382  0.382
F  0.000  0.618  0.618
F  0.363  0.363  0.727
F  0.363  0.637  0.000
F  0.382  0.000  0.382
F  0.618  0.000  0.618
F  0.637  0.363  0.000
F  0.637  0.637  0.273

***

Below is PmF4 after structural relaxation, with properties calculated at the PBE level.

Computed properties:
- SG = Pm-3m (221)
- density of states at the Fermi level (states/eV per atom) = 1.951
- raw total energy (eV/atom) = -5.483
- crystal system = cubic
- ΔE to the lowest computed polymorph (meV/atom) = 92

Cell lengths 4.544, 4.544, 4.544 Å; angles 90.00, 90.00, 90.00 degrees
Element x y z (fractional)
Pm  0.000  0.000  0.000
F  0.000  0.000  0.500
F  0.000  0.500  0.000
F  0.500  0.000  0.000
F  0.500  0.500  0.500

***

Below is Pm2F5 after structural relaxation, with properties calculated at the PBE level.

Computed properties:
- SG = C2/c (15)
- density of states at the Fermi level (states/eV per atom) = 0.279
- raw total energy (eV/atom) = -6.404
- crystal system = monoclinic

Cell lengths 7.049, 7.049, 6.132 Å; angles 102.07, 102.07, 44.61 degrees
Element x y z (fractional)
Pm  0.128  0.642  0.902
Pm  0.358  0.872  0.598
Pm  0.642  0.128  0.402
Pm  0.872  0.358  0.098
F  0.079  0.921  0.250
F  0.174  0.264  0.857
F  0.264  0.174  0.357
F  0.278  0.579  0.556
F  0.421  0.722  0.944
F  0.579  0.278  0.056
F  0.722  0.421  0.444
F  0.736  0.826  0.643
F  0.826  0.736  0.143
F  0.921  0.079  0.750

***

Below is PmPr2F8 after structural relaxation, with properties calculated at the PBE level.

Computed properties:
- SG = C2/m (12)
- density of states at the Fermi level (states/eV per atom) = 0.085
- raw total energy (eV/atom) = -6.511
- crystal system = monoclinic

Cell lengths 7.887, 7.887, 5.837 Å; angles 110.48, 110.48, 28.07 degrees
Element x y z (fractional)
Pm  0.000  0.000  0.000
Pr  0.325  0.325  0.323
Pr  0.675  0.675  0.677
F  0.095  0.095  0.438
F  0.175  0.175  0.960
F  0.278  0.278  0.674
F  0.460  0.460  0.220
F  0.540  0.540  0.780
F  0.722  0.722  0.326
F  0.825  0.825  0.040
F  0.905  0.905  0.562

***

Below is PmPr3F after structural relaxation, with properties calculated at the PBE level.

Computed properties:
- SG = Pm-3m (221)
- density of states at the Fermi level (states/eV per atom) = 1.072
- raw total energy (eV/atom) = -5.175
- crystal system = cubic

Cell lengths 5.248, 5.248, 5.248 Å; angles 90.00, 90.00, 90.00 degrees
Element x y z (fractional)
Pm  0.000  0.000  0.000
Pr  0.000  0.500  0.500
Pr  0.500  0.000  0.500
Pr  0.500  0.500  0.000
F  0.500  0.500  0.500

***

Below is Pm3PrF after structural relaxation, with properties calculated at the PBE level.

Computed properties:
- SG = Pm-3m (221)
- density of states at the Fermi level (states/eV per atom) = 0.911
- raw total energy (eV/atom) = -5.153
- crystal system = cubic

Cell lengths 5.195, 5.195, 5.195 Å; angles 90.00, 90.00, 90.00 degrees
Element x y z (fractional)
Pm  0.000  0.000  0.500
Pm  0.000  0.500  0.000
Pm  0.500  0.000  0.000
Pr  0.500  0.500  0.500
F  0.000  0.000  0.000

***

Below is PmPrF2 after structural relaxation, with properties calculated at the PBE level.

Computed properties:
- SG = R-3m (166)
- density of states at the Fermi level (states/eV per atom) = 0.660
- raw total energy (eV/atom) = -5.606
- crystal system = trigonal

Cell lengths 8.371, 8.371, 8.371 Å; angles 24.66, 24.66, 24.66 degrees
Element x y z (fractional)
Pm  0.000  0.000  0.000
Pr  0.500  0.500  0.500
F  0.095  0.095  0.095
F  0.905  0.905  0.905

***

Below is PmPr2F after structural relaxation, with properties calculated at the PBE level.

Computed properties:
- SG = R-3m (166)
- density of states at the Fermi level (states/eV per atom) = 0.728
- raw total energy (eV/atom) = -5.188
- crystal system = trigonal

Cell lengths 9.133, 9.133, 9.133 Å; angles 24.19, 24.19, 24.19 degrees
Element x y z (fractional)
Pm  0.000  0.000  0.000
Pr  0.224  0.224  0.224
Pr  0.776  0.776  0.776
F  0.500  0.500  0.500

***

Below is Pm4Pt2F after structural relaxation, with properties calculated at the PBE level.

Computed properties:
- SG = I4/mmm (139)
- density of states at the Fermi level (states/eV per atom) = 0.939
- raw total energy (eV/atom) = -6.012
- crystal system = tetragonal

Cell lengths 8.245, 8.245, 8.245 Å; angles 146.22, 146.22, 48.52 degrees
Element x y z (fractional)
Pm  0.000  0.500  0.500
Pm  0.191  0.191  0.000
Pm  0.500  0.000  0.500
Pm  0.809  0.809  0.000
Pt  0.373  0.373  0.000
Pt  0.627  0.627  0.000
F  0.000  0.000  0.000

***

Below is PmPtF after structural relaxation, with properties calculated at the PBE level.

Computed properties:
- SG = C2/m (12)
- density of states at the Fermi level (states/eV per atom) = 0.161
- raw total energy (eV/atom) = -6.504
- crystal system = monoclinic

Cell lengths 4.788, 4.788, 8.275 Å; angles 116.09, 116.09, 48.61 degrees
Element x y z (fractional)
Pm  0.159  0.159  0.256
Pm  0.841  0.841  0.744
Pt  0.370  0.370  0.049
Pt  0.630  0.630  0.951
F  0.193  0.193  0.564
F  0.807  0.807  0.436

***

Below is Pm4Pt2F5 after structural relaxation, with properties calculated at the PBE level.

Computed properties:
- SG = C2/m (12)
- density of states at the Fermi level (states/eV per atom) = 0.328
- raw total energy (eV/atom) = -6.427
- crystal system = monoclinic

Cell lengths 11.940, 11.940, 4.268 Å; angles 91.89, 91.89, 20.05 degrees
Element x y z (fractional)
Pm  0.069  0.069  0.325
Pm  0.312  0.312  0.035
Pm  0.688  0.688  0.965
Pm  0.931  0.931  0.675
Pt  0.201  0.201  0.473
Pt  0.799  0.799  0.527
F  0.039  0.039  0.811
F  0.409  0.409  0.890
F  0.500  0.500  0.500
F  0.591  0.591  0.110
F  0.961  0.961  0.189

***

Below is PmPtF6 after structural relaxation, with properties calculated at the PBE level.

Computed properties:
- SG = C2/m (12)
- raw total energy (eV/atom) = -5.299
- crystal system = monoclinic

Cell lengths 5.875, 5.875, 5.806 Å; angles 117.09, 117.09, 61.98 degrees
Element x y z (fractional)
Pm  0.000  0.000  0.000
Pt  0.500  0.500  0.500
F  0.210  0.679  0.679
F  0.252  0.252  0.134
F  0.321  0.790  0.321
F  0.679  0.210  0.679
F  0.748  0.748  0.866
F  0.790  0.321  0.321

***

Below is Pm2Pu2F7 after structural relaxation, with properties calculated at the PBE level.

Computed properties:
- SG = C2/m (12)
- density of states at the Fermi level (states/eV per atom) = 1.051
- raw total energy (eV/atom) = -7.665
- crystal system = monoclinic

Cell lengths 5.672, 5.672, 6.309 Å; angles 96.72, 96.72, 89.15 degrees
Element x y z (fractional)
Pm  0.242  0.758  0.000
Pm  0.758  0.242  0.000
Pu  0.269  0.269  0.441
Pu  0.731  0.731  0.559
F  0.000  0.000  0.500
F  0.018  0.538  0.218
F  0.462  0.982  0.782
F  0.482  0.482  0.773
F  0.518  0.518  0.227
F  0.538  0.018  0.218
F  0.982  0.462  0.782

***

Below is Pm2PuF after structural relaxation, with properties calculated at the PBE level.

Computed properties:
- SG = R-3m (166)
- density of states at the Fermi level (states/eV per atom) = 2.548
- raw total energy (eV/atom) = -7.239
- crystal system = trigonal

Cell lengths 10.494, 10.494, 10.494 Å; angles 18.57, 18.57, 18.57 degrees
Element x y z (fractional)
Pm  0.106  0.106  0.106
Pm  0.894  0.894  0.894
Pu  0.000  0.000  0.000
F  0.500  0.500  0.500

***

Below is Pm2PuF8 after structural relaxation, with properties calculated at the PBE level.

Computed properties:
- SG = C2/m (12)
- density of states at the Fermi level (states/eV per atom) = 0.572
- raw total energy (eV/atom) = -7.340
- crystal system = monoclinic
- ΔE to the lowest computed polymorph (meV/atom) = 0

Cell lengths 7.787, 7.787, 5.816 Å; angles 109.61, 109.61, 28.34 degrees
Element x y z (fractional)
Pm  0.179  0.179  0.184
Pm  0.821  0.821  0.816
Pu  0.500  0.500  0.500
F  0.043  0.043  0.285
F  0.216  0.216  0.825
F  0.319  0.319  0.538
F  0.399  0.399  0.045
F  0.601  0.601  0.955
F  0.681  0.681  0.462
F  0.784  0.784  0.175
F  0.957  0.957  0.715